1.
Below is an optimized crystal structure of NaGeH3, with properties calculated at the PBE-GGA level.

Calculated values
The space group is Pm-3m, No. 221. The offset from the most stable computed form is 0.223 eV/atom.

a b c (Å): 3.8997 3.8997 3.8997
angles (deg): 90.00 90.00 90.00
Sites, in units of the cell vectors:
Na 0.0000 0.0000 0.0000
Ge 0.5000 0.5000 0.5000
H 0.0000 0.5000 0.5000
H 0.5000 0.0000 0.5000
H 0.5000 0.5000 0.0000



2.
Below is an optimized crystal structure of Mg3Sn4Ir4, with properties calculated at the PBE-GGA level.

Calculated values
The space group is Immm, No. 71. As for the calculated formation energy: -0.2380 eV/atom.

a b c (Å): 7.9807 7.9807 7.9807
angles (deg): 150.60 116.11 71.86
Sites, in units of the cell vectors:
Mg 0.0000 0.0000 0.0000
Mg 0.3906 0.8906 0.5000
Mg 0.6094 0.1094 0.5000
Sn 0.0204 0.3320 0.6883
Sn 0.3563 0.6680 0.6883
Sn 0.6437 0.3320 0.3117
Sn 0.9796 0.6680 0.3117
Ir 0.2405 0.2405 0.0000
Ir 0.3469 0.5000 0.8469
Ir 0.6531 0.5000 0.1531
Ir 0.7595 0.7595 0.0000



3.
Below is an optimized crystal structure of La3Zn8Pd, with properties calculated at the PBE-GGA level.

Calculated values
The space group is R3m, No. 160. As for the calculated formation energy: -0.3154 eV/atom.

a b c (Å): 9.5105 9.5105 9.5105
angles (deg): 33.85 33.85 33.85
Sites, in units of the cell vectors:
La 0.0000 0.0000 0.0000
La 0.1269 0.1269 0.1269
La 0.5077 0.5077 0.5077
Zn 0.0544 0.5653 0.5653
Zn 0.0661 0.0661 0.5682
Zn 0.0661 0.5682 0.0661
Zn 0.3126 0.3126 0.3126
Zn 0.5653 0.0544 0.5653
Zn 0.5653 0.5653 0.0544
Zn 0.5682 0.0661 0.0661
Zn 0.8164 0.8164 0.8164
Pd 0.6353 0.6353 0.6353



4.
Below is an optimized crystal structure of Er6BiRu2, with properties calculated at the PBE-GGA level.

Calculated values
The space group is Immm, No. 71. The offset from the most stable computed form is 0.000 eV/atom. As for the calculated formation energy: -0.4474 eV/atom.

a b c (Å): 8.4856 8.4856 8.4856
angles (deg): 112.88 110.80 104.84
Sites, in units of the cell vectors:
Er 0.0242 0.2392 0.7850
Er 0.1813 0.2865 0.4679
Er 0.1813 0.7135 0.8948
Er 0.3314 0.0172 0.6858
Er 0.3314 0.6455 0.3142
Er 0.4542 0.2392 0.2150
Er 0.5458 0.7608 0.7850
Er 0.6686 0.3545 0.6858
Er 0.6686 0.9828 0.3142
Er 0.8187 0.2865 0.1052
Er 0.8187 0.7135 0.5321
Er 0.9758 0.7608 0.2150
Bi 0.0000 0.0000 0.0000
Bi 0.5000 0.5000 0.0000
Ru 0.1281 0.6281 0.5000
Ru 0.3326 0.0000 0.3326
Ru 0.6674 0.0000 0.6674
Ru 0.8719 0.3719 0.5000



5.
Below is an optimized crystal structure of PuAg2Hg2O6, with properties calculated at the PBE-GGA level.

Calculated values
The space group is C2/m, No. 12. Its formation energy (no corrections) is -0.89 eV/atom.

a b c (Å): 5.7787 5.7787 6.4881
angles (deg): 107.67 107.67 107.56
Sites, in units of the cell vectors:
Pu 0.0000 0.0000 0.0000
Ag 0.3507 0.6493 0.0000
Ag 0.6493 0.3507 0.0000
Hg 0.1906 0.8094 0.5000
Hg 0.8094 0.1906 0.5000
O 0.0716 0.3757 0.2226
O 0.1685 0.1685 0.7792
O 0.3757 0.0716 0.2226
O 0.6243 0.9284 0.7774
O 0.8315 0.8315 0.2208
O 0.9284 0.6243 0.7774



6.
Below is an optimized crystal structure of La4GePd3, with properties calculated at the PBE-GGA level.

Calculated values
The space group is Pmm2, No. 25. As for the calculated formation energy: -0.8224 eV/atom.

a b c (Å): 4.1302 4.5343 11.2337
angles (deg): 90.00 90.00 90.00
Sites, in units of the cell vectors:
La 0.0000 0.0000 0.0000
La 0.0000 0.5000 0.2686
La 0.5000 0.0000 0.4969
La 0.5000 0.5000 0.7723
Ge 0.0000 0.0000 0.7147
Pd 0.0000 0.5000 0.5524
Pd 0.5000 0.0000 0.2213
Pd 0.5000 0.5000 0.0500



7.
Below is an optimized crystal structure of TiMnBeW, with properties calculated at the PBE-GGA level.

Calculated values
The space group is F-43m, No. 216. As for the calculated formation energy: -0.0026 eV/atom.

a b c (Å): 5.9177 5.9177 5.9177
angles (deg): 90.00 90.00 90.00
Sites, in units of the cell vectors:
Ti 0.0000 0.0000 0.0000
Ti 0.0000 0.5000 0.5000
Ti 0.5000 0.0000 0.5000
Ti 0.5000 0.5000 0.0000
Mn 0.2500 0.2500 0.2500
Mn 0.2500 0.7500 0.7500
Mn 0.7500 0.2500 0.7500
Mn 0.7500 0.7500 0.2500
Be 0.2500 0.2500 0.7500
Be 0.2500 0.7500 0.2500
Be 0.7500 0.2500 0.2500
Be 0.7500 0.7500 0.7500
W 0.0000 0.0000 0.5000
W 0.0000 0.5000 0.0000
W 0.5000 0.0000 0.0000
W 0.5000 0.5000 0.5000



8.
Below is an optimized crystal structure of MgAgSe2, with properties calculated at the PBE-GGA level.

Calculated values
The space group is P2/m, No. 10. Its formation energy (no corrections) is -0.34 eV/atom.

a b c (Å): 3.9850 3.8125 5.9100
angles (deg): 90.00 106.18 90.00
Sites, in units of the cell vectors:
Mg 0.0000 0.0000 0.0000
Ag 0.5000 0.0000 0.5000
Se 0.2474 0.5000 0.7582
Se 0.7526 0.5000 0.2418